## MoI2O2 (PBE with a Hubbard U)

Data for a relaxed MoI2O2 crystal.

Space-group type: No. 123
Magnetic moment: 2.041 Bohr magnetons per cell
Total DFT energy (no corrections): -21.85 eV per cell
Energy above the lowest structure with this stoichiometry: 0.000 eV per atom

a = 4.131 Å, b = 4.131 Å, c = 7.430 Å
α = 90.00°, β = 90.00°, γ = 90.00°
Fractional positions:
I1 0.500 0.500 0.500
I2 0.000 0.000 0.500
O1 0.000 0.500 0.000
O2 0.500 0.000 0.000
Mo1 0.000 0.000 0.000